{
  "formula": "Li2Mn3NbO8",
  "functional": "PBE+U",
  "state": "relaxed",
  "e_above_lowest_polymorph_ev_per_atom": 0.027,
  "spacegroup": "C2/m (12)",
  "energy_ev_per_atom": -7.36,
  "mass_density_g_cm3": 4.10,
  "lattice": [[5.8546, 0.0000, 0.0000], [-2.9273, 5.5097, -0.0002], [0.0000, -3.2054, 5.0132]],
  "species": ["O", "O", "Li", "O", "O", "Mn", "Nb", "O", "O", "O", "Li", "Mn", "Mn", "O"],
  "fractional_positions": [[0.7251, 0.9982, 0.7508], [0.7405, 0.4811, 0.2045], [0.1359, 0.2717, 0.3881], [0.2749, 0.0018, 0.2492], [0.2751, 0.5501, 0.2518], [0.0000, 0.5000, 0.0000], [0.5000, 0.0000, 0.5000], [0.7270, 0.0018, 0.2492], [0.2595, 0.5189, 0.7955], [0.7249, 0.4499, 0.7482], [0.8641, 0.7283, 0.6119], [0.5000, 0.0000, 0.0000], [0.5000, 0.5000, 0.0000], [0.2730, 0.9982, 0.7508]]
}